# 1
{"formula": "FeAs2Pt", "functional": "meta-GGA SCAN", "state": "single point on PBEsol structure", "cell": [[3.0782, 0.0000, 0.0000], [0.0000, 3.0782, 0.0000], [0.0000, 0.0000, 6.0962]], "species": ["Fe", "Pt", "As", "As"], "fractional_positions": [[0.5000, 0.5000, 0.0000], [0.5000, 0.5000, 0.5000], [0.0000, 0.0000, 0.7728], [0.0000, 0.0000, 0.2272]], "final_energy_ev_per_cell": -128.3, "m_tot_mub_per_fu": 2.17, "relative_energy_mev_per_atom": 53, "ef_mev_per_atom": 91, "vol_a3_per_fu": 58}

---

# 2
{"formula": "YSc2Mo", "functional": "meta-GGA SCAN", "state": "single point on PBEsol structure", "cell": [[-3.0053, 0.0970, 1.0994], [-2.3007, -1.6625, -1.4808], [0.1356, -8.4139, 5.7747]], "species": ["Y", "Sc", "Sc", "Mo"], "fractional_positions": [[0.5100, 0.5100, 0.4701], [0.7474, 0.7474, 0.7579], [0.9894, 0.9894, 0.0318], [0.2532, 0.2532, 0.2403]], "final_energy_ev_per_cell": -89.7, "m_tot_mub_per_fu": 1.98, "relative_energy_mev_per_atom": 73, "ef_mev_per_atom": 384, "vol_a3_per_fu": 89}

---

Question: What is the formula in the second record?
Answer: YSc2Mo

---

Question: Which formula does entry 1 have?
Answer: FeAs2Pt